1.
TbSm2Al7Cu2: relaxed, PBE-GGA.

Summary:
Final energy: -4.460 eV per atom
Theoretical density: 5.69 Mg/m³
Crystal system: trigonal

abc: 5.5299 5.5299 25.6564
angles: 90.00 90.00 120.00
Closest atoms and distances in Å follow each position.
Space group R-3m (No. 166, hexagonal axes)
Symmetry-distinct sites (fractional):
Tb  0.0000  0.0000  0.0000 [3 per cell]  6 Cu 3.19, 12 Al 3.41
Sm  0.0000  0.0000  0.1416 [6 per cell]  12 Al 3.21-3.32, 3 Sm 3.44
Al  0.0000  0.0000  0.5000 [3 per cell]  6 Al 2.80
Al  0.0057  0.5028  0.9223 [18 per cell]  2 Cu 2.53-2.58, 5 Al 2.72-2.81
Cu  0.0000  0.0000  0.3353 [6 per cell]  6 Al 2.53-2.58

2.
Sm2TmAl7Cu2: relaxed, PBE-GGA.

Summary:
Final energy: -4.429 eV per atom
Theoretical density: 5.83 Mg/m³
Crystal system: trigonal

abc: 5.5109 5.5109 25.5186
angles: 90.00 90.00 120.00
Closest atoms and distances in Å follow each position.
Space group R-3m (No. 166, hexagonal axes)
Symmetry-distinct sites (fractional):
Sm  0.0000  0.0000  0.1415 [6 per cell]  12 Al 3.20-3.31, 3 Sm 3.43
Tm  0.0000  0.0000  0.0000 [3 per cell]  6 Cu 3.18, 12 Al 3.39
Al  0.0000  0.0000  0.5000 [3 per cell]  6 Al 2.79
Al  0.0056  0.5028  0.9225 [18 per cell]  2 Cu 2.52-2.56, 5 Al 2.71-2.80
Cu  0.0000  0.0000  0.3353 [6 per cell]  6 Al 2.52-2.56

3.
SmTm2Al7Cu2: relaxed, PBE-GGA.

Summary:
Final energy: -4.430 eV per atom
Theoretical density: 6.10 Mg/m³
Crystal system: trigonal

abc: 5.4682 5.4682 25.3651
angles: 90.00 90.00 120.00
Closest atoms and distances in Å follow each position.
Space group R-3m (No. 166, hexagonal axes)
Symmetry-distinct sites (fractional):
Sm  0.0000  0.0000  0.0000 [3 per cell]  6 Cu 3.16, 12 Al 3.39
Tm  0.0000  0.0000  0.1423 [6 per cell]  12 Al 3.17-3.23, 3 Tm 3.39
Al  0.0000  0.0000  0.5000 [3 per cell]  6 Al 2.74
Al  0.0063  0.5031  0.9207 [18 per cell]  2 Cu 2.54-2.58, 5 Al 2.68-2.79
Cu  0.0000  0.0000  0.3352 [6 per cell]  6 Al 2.54-2.58

4.
Sm2YAl7Cu2: relaxed, PBE-GGA.

Summary:
Final energy: -4.612 eV per atom
Theoretical density: 5.19 Mg/m³
Crystal system: trigonal

abc: 5.5267 5.5267 25.5926
angles: 90.00 90.00 120.00
Closest atoms and distances in Å follow each position.
Space group R-3m (No. 166, hexagonal axes)
Symmetry-distinct sites (fractional):
Sm  0.0000  0.0000  0.1417 [6 per cell]  12 Al 3.21-3.31, 3 Sm 3.44
Y  0.0000  0.0000  0.0000 [3 per cell]  6 Cu 3.19, 12 Al 3.41
Al  0.0000  0.0000  0.5000 [3 per cell]  6 Al 2.79
Al  0.0060  0.5030  0.9221 [18 per cell]  2 Cu 2.53-2.58, 5 Al 2.71-2.81
Cu  0.0000  0.0000  0.3354 [6 per cell]  6 Al 2.53-2.58